Crystalline Be2AsP at its relaxed geometry. Source: Alexandria via LeMat-Bulk, functional PBE. Values from VASP.

```
&SYSTEM
  ibrav = 0, nat = 8, ntyp = 3
/
ATOMIC_SPECIES
Be 9.01 Be.upf
P 30.97 P.upf
As 74.92 As.upf
ATOMIC_POSITIONS angstrom
Be -3.518 -0.886 -1.394
Be -6.636 -0.200 0.536
Be -3.331 1.739 0.070
P -2.466 0.956 -1.734
As -5.581 1.779 0.267
Be -8.978 0.846 -1.042
P -5.650 -1.030 -1.183
As 0.000 0.000 0.000
CELL_PARAMETERS angstrom
-2.396 3.765 -0.284
-2.535 -1.854 -3.184
-6.300 -1.162 2.552
```

Calculated values
Calculated density = 3.4 Mg/m³
Relative energy among the computed polymorphs = 0.035 eV/atom